No. 1
First-principles (PBE-GGA) data for an optimized crystal structure of BaCuSbPd, as listed in OQMD via LeMat-Bulk.

Results
Its energy above the lowest structure with this stoichiometry is 0.000 eV per atom. The calculated total energy comes out at -3.9752 eV/atom. Its space group is F-43m, No. 216.

```
BaCuSbPd
1.0
0.000 3.604 3.604
3.604 0.000 3.604
3.604 3.604 0.000
Ba Cu Sb Pd
1 1 1 1
Cartesian
0.000 0.000 0.000
5.407 5.407 5.407
3.604 3.604 3.604
1.802 1.802 1.802
```

***

No. 2
First-principles (PBE-GGA) data for an optimized crystal structure of BaCuSbPd, as listed in OQMD via LeMat-Bulk.

Results
Its energy above the lowest structure with this stoichiometry is 0.175 eV per atom. The calculated total energy comes out at -3.8000 eV/atom. Its space group is F-43m, No. 216.

```
BaCuSbPd
1.0
0.000 3.651 3.651
3.651 0.000 3.651
3.651 3.651 0.000
Ba Cu Sb Pd
1 1 1 1
Cartesian
0.000 0.000 0.000
1.826 1.826 1.826
5.477 5.477 5.477
3.651 3.651 3.651
```